Below is a relaxed Ac2Sm3PuSe6 crystal, with properties calculated at the GGA-PBE level.

Unit cell a=18.658 b=4.242 c=8.604 alpha=90.00 beta=103.84 gamma=90.00
Space group C2/m (No. 12)
Unique sites:
Ac: 0.164 0.000 0.331 x4
Sm: 0.000 0.500 0.500 x2
Sm: 0.168 0.000 0.837 x4
Pu: 0.000 0.500 0.000 x2
Se: 0.006 0.000 0.754 x4
Se: 0.163 0.500 0.595 x4
Se: 0.165 0.500 0.070 x4

Properties
As for the formation energy from raw total energies: -1.781 eV/atom. As for the volume: 27.550 A^3/atom.



Below is a relaxed BaSmPd crystal, with properties calculated at the GGA-PBE level.

Unit cell a=3.785 b=3.785 c=13.845 alpha=90.00 beta=90.00 gamma=90.00
Space group I4mm (No. 107)
Unique sites:
Ba: 0.000 0.000 0.000 x2
Sm: 0.000 0.000 0.259 x2
Pd: 0.000 0.000 0.665 x2

Properties
The formation energy from the elements comes out at -389.7 meV/atom. As for the volume: 33.050 A^3/atom.



Below is a relaxed La2DyPuP4 crystal, with properties calculated at the GGA-PBE level.

Unit cell a=7.145 b=4.141 c=7.168 alpha=90.00 beta=109.45 gamma=90.00
Space group P2/m (No. 10)
Unique sites:
La: 0.000 0.000 0.000 x1
La: 0.500 0.500 0.000 x1
Dy: 0.000 0.500 0.500 x1
Pu: 0.500 0.000 0.500 x1
P: 0.247 0.000 0.734 x2
P: 0.259 0.500 0.269 x2

Properties
The formation energy from the elements comes out at -1451.0 meV/atom. As for the volume: 24.993 A^3/atom.



Below is a relaxed Ru2Se crystal, with properties calculated at the GGA-PBE level.

Unit cell a=4.005 b=4.005 c=3.057 alpha=90.00 beta=90.00 gamma=90.00
Space group P4/mmm (No. 123)
Unique sites:
Ru: 0.000 0.500 0.000 x2
Se: 0.000 0.000 0.500 x1

Properties
As for the formation energy from raw total energies: 0.616 eV/atom. As for the volume: 16.346 A^3/atom. The energy above the most stable polymorph in this dataset is 0.554 eV per atom.